Sm3Zn2Cl: optimized geometry, PBE.

Structure (CIF):
```
data_Sm3Zn2Cl
_cell_length_a 7.754
_cell_length_b 13.453
_cell_length_c 3.737
_cell_angle_alpha 90.00
_cell_angle_beta 90.00
_cell_angle_gamma 90.00
_space_group_name_H-M_alt 'C m m m'
_space_group_IT_number 65
_space_group_name_Hall '-C 2 2'
loop_
_atom_site_label
_atom_site_type_symbol
_atom_site_fract_x
_atom_site_fract_y
_atom_site_fract_z
Sm1 Sm 0.000 0.000 0.000
Sm2 Sm 0.250 0.250 0.000
Zn1 Zn 0.000 0.167 0.500
Cl1 Cl 0.000 0.500 0.500
```

## Properties
- Volume: 32.5 Å³/atom
- VASP energy: -3.074 eV per atom



SmBiTeO2: optimized geometry, PBE.

Structure (CIF):
```
data_SmBiTeO2
_cell_length_a 4.001
_cell_length_b 4.001
_cell_length_c 12.653
_cell_angle_alpha 90.00
_cell_angle_beta 90.00
_cell_angle_gamma 90.00
_space_group_name_H-M_alt 'I 4 m m'
_space_group_IT_number 107
_space_group_name_Hall 'I 4 -2'
loop_
_atom_site_label
_atom_site_type_symbol
_atom_site_fract_x
_atom_site_fract_y
_atom_site_fract_z
Sm1 Sm 0.000 0.000 0.000
Bi1 Bi 0.000 0.000 0.688
Te1 Te 0.000 0.000 0.348
O1 O 0.000 0.500 0.094
```

## Properties
- Volume: 20.3 Å³/atom
- VASP energy: -6.264 eV per atom



Sc2AlFe: optimized geometry, PBE.

Structure (CIF):
```
data_Sc2AlFe
_cell_length_a 6.405
_cell_length_b 6.405
_cell_length_c 6.405
_cell_angle_alpha 90.00
_cell_angle_beta 90.00
_cell_angle_gamma 90.00
_space_group_name_H-M_alt 'F -4 3 m'
_space_group_IT_number 216
_space_group_name_Hall 'F -4 2 3'
loop_
_atom_site_label
_atom_site_type_symbol
_atom_site_fract_x
_atom_site_fract_y
_atom_site_fract_z
Sc1 Sc 0.000 0.000 0.000
Sc2 Sc 0.250 0.250 0.250
Al1 Al 0.000 0.000 0.500
Fe1 Fe 0.250 0.250 0.750
```

## Properties
- Volume: 16.4 Å³/atom
- VASP energy: -6.306 eV per atom



Li4GeAsAu2: optimized geometry, PBE.

Structure (CIF):
```
data_Li4GeAsAu2
_cell_length_a 4.411
_cell_length_b 4.411
_cell_length_c 6.308
_cell_angle_alpha 90.00
_cell_angle_beta 90.00
_cell_angle_gamma 90.00
_space_group_name_H-M_alt 'P -4 m 2'
_space_group_IT_number 115
_space_group_name_Hall 'P -4 -2'
loop_
_atom_site_label
_atom_site_type_symbol
_atom_site_fract_x
_atom_site_fract_y
_atom_site_fract_z
Li1 Li 0.000 0.000 0.000
Li2 Li 0.000 0.500 0.749
Li3 Li 0.500 0.500 0.500
Ge1 Ge 0.500 0.500 0.000
As1 As 0.000 0.000 0.500
Au1 Au 0.000 0.500 0.236
```

## Properties
- Volume: 15.3 Å³/atom
- VASP energy: -3.456 eV per atom